UNiRh after structural relaxation. Source: Alexandria via LeMat-Bulk, functional PBE-GGA.

Cell: 3.7079 3.7079 4.4709 Å, 90.00 90.00 120.00°
Last column: magnetic moment on the atom in μB.
Positions (direct):
Rh 0.3333 0.6667 0.6846  -0.08
U 0.6667 0.3333 0.3285  0.82
Ni 0.0000 0.0000 0.9870  -0.06

Total magnetization ... 0.732 μB per formula unit
Density ... 12.5 g/cm3
Final energy ... -8.290 eV per atom
Offset from the most stable computed form ... 0.033 eV/atom
Formation enthalpy at 0 K ... -0.150 eV per atom